# 1
PBE-GGA AgBrO2, relaxed; E_tot = -3.600 eV/atom; crystal system = triclinic
1.0
3.9889 0.0000 0.0000
-1.7004 3.6743 0.0000
-0.2441 -0.3486 5.0059
Ag Br O
1 1 2
Cartesian
0.0000 0.0000 0.0000
0.0711 2.2693 3.7008
1.4352 0.6135 1.5073
2.4990 1.2243 1.0730

# 2
PBE-GGA DyHo2Tm2Lu2Ni2Te2, relaxed; E_tot = -5.159 eV/atom; crystal system = orthorhombic; total magnetization = 0.01 μB/cell
1.0
-1.9161 7.7020 4.7374
1.9161 -7.7020 4.7374
1.9161 7.7020 -4.7374
Dy Ho Tm Lu Ni Te
1 2 2 2 2 2
Cartesian
0.0000 0.0000 0.0000
1.9161 -2.2607 2.1731
1.9161 2.2607 2.1731
1.9161 5.6277 0.7781
0.0000 2.0743 5.5155
1.9161 2.8551 -1.1705
0.0000 4.8469 3.5669
0.0000 3.6406 0.6511
0.0000 11.7634 0.6511
0.0000 0.0000 3.2128
0.0000 7.7020 2.2077

# 3
PBE-GGA Nd3Mg4Sn2, relaxed; E_tot = -3.546 eV/atom; crystal system = hexagonal; total magnetization = 0.04 μB/cell
1.0
7.9430 0.0000 0.0000
-3.9715 6.8789 0.0000
0.0000 0.0000 4.5298
Nd Mg Sn
3 4 2
Cartesian
-0.7216 2.3154 0.0000
-1.6055 6.3461 0.0000
2.3271 5.0962 0.0000
0.0000 0.0000 2.2649
2.0238 2.2701 2.2649
4.9652 0.6176 2.2649
4.9256 3.9912 2.2649
0.0000 4.5859 2.2649
3.9715 2.2930 0.0000